# 1
Material: ZrTl2Ru
Method: DFT, PBE
State: relaxed

Cell lengths 4.422, 4.422, 8.434 Å; angles 90.00, 90.00, 90.00 degrees
Space group I-4m2 (No. 119)
Asymmetric unit:
Zr 0.000 0.000 0.000 x2
Tl 0.000 0.000 0.500 x2
Tl 0.000 0.500 0.250 x2
Ru 0.000 0.500 0.750 x2

raw total energy = -5.37 eV per atom
formation energy = 0.267 eV per atom

# 2
Material: Zr2TlRu
Method: DFT, PBE
State: relaxed

Cell lengths 3.213, 3.204, 8.002 Å; angles 90.00, 91.64, 90.00 degrees
Space group P2/m (No. 10)
Asymmetric unit:
Zr 0.019 0.000 0.291 x2
Tl 0.500 0.500 0.000 x1
Ru 0.500 0.500 0.500 x1

raw total energy = -7.48 eV per atom
formation energy = -0.294 eV per atom

# 3
Material: ZrTlRu3
Method: DFT, PBE
State: relaxed

Cell lengths 4.844, 4.844, 4.844 Å; angles 90.00, 90.00, 90.00 degrees
Space group Pm-3m (No. 221)
Asymmetric unit:
Zr 0.000 0.000 0.000 x1
Tl 0.500 0.500 0.500 x1
Ru 0.000 0.000 0.500 x3

raw total energy = -6.29 eV per atom
formation energy = 1.455 eV per atom

# 4
Material: ZrTl2Ru
Method: DFT, PBE
State: relaxed

Cell lengths 11.195, 3.491, 4.991 Å; angles 90.00, 116.40, 90.00 degrees
Space group Cm (No. 8)
Asymmetric unit:
Zr 0.000 0.000 0.000 x2
Tl 0.062 0.500 0.562 x2
Tl 0.281 0.500 0.280 x2
Ru 0.312 0.000 0.811 x2

raw total energy = -5.47 eV per atom
formation energy = 0.170 eV per atom

# 5
Material: ZrTl2Ru
Method: DFT, PBE
State: relaxed

Cell lengths 3.349, 3.349, 7.242 Å; angles 90.00, 90.00, 90.00 degrees
Space group P4/mmm (No. 123)
Asymmetric unit:
Zr 0.000 0.000 0.000 x1
Tl 0.500 0.500 0.278 x2
Ru 0.000 0.000 0.500 x1

raw total energy = -5.38 eV per atom
formation energy = 0.263 eV per atom

# 6
Material: Zr2TlRu
Method: DFT, PBE
State: relaxed

Cell lengths 6.016, 8.012, 3.324 Å; angles 90.00, 90.00, 90.00 degrees
Space group Cmmm (No. 65)
Asymmetric unit:
Zr 0.250 0.250 0.000 x4
Tl 0.000 0.000 0.500 x2
Ru 0.000 0.500 0.500 x2

raw total energy = -7.28 eV per atom
formation energy = -0.098 eV per atom

# 7
Material: Zr2Tl2Ru
Method: DFT, PBE
State: relaxed

Cell lengths 3.868, 3.868, 15.895 Å; angles 90.00, 90.00, 90.00 degrees
Space group I4/mmm (No. 139)
Asymmetric unit:
Zr 0.000 0.000 0.088 x4
Tl 0.000 0.500 0.250 x4
Ru 0.000 0.000 0.500 x2

raw total energy = -5.61 eV per atom
formation energy = 0.609 eV per atom

# 8
Material: Zr2TlRu
Method: DFT, PBE
State: relaxed

Cell lengths 3.2724, 3.2724, 27.6023 Å; angles 90.00, 90.00, 120.00 degrees
Space group R3m (No. 160, hexagonal axes)
Asymmetric unit:
Zr 0.0000 0.0000 0.0000 x3
Zr 0.0000 0.0000 0.2411 x3
Tl 0.0000 0.0000 0.7595 x3
Ru 0.0000 0.0000 0.5063 x3

raw total energy = -7.09 eV per atom
formation energy = 0.090 eV per atom

# 9
Material: ZrTl2Ru
Method: DFT, PBE
State: relaxed

Cell lengths 5.938, 8.803, 3.195 Å; angles 90.00, 90.00, 90.00 degrees
Space group Cmmm (No. 65)
Asymmetric unit:
Zr 0.000 0.000 0.000 x2
Tl 0.250 0.250 0.500 x4
Ru 0.000 0.500 0.000 x2

raw total energy = -5.24 eV per atom
formation energy = 0.395 eV per atom

# 10
Material: ZrTl3Ru
Method: DFT, PBE
State: relaxed

Cell lengths 5.202, 5.202, 5.202 Å; angles 90.00, 90.00, 90.00 degrees
Space group Pm-3m (No. 221)
Asymmetric unit:
Zr 0.000 0.000 0.000 x1
Tl 0.000 0.500 0.500 x3
Ru 0.500 0.500 0.500 x1

raw total energy = -4.18 eV per atom
formation energy = 0.801 eV per atom

# 11
Material: Zr2TlRu
Method: DFT, PBE
State: relaxed

Cell lengths 3.393, 4.469, 5.798 Å; angles 90.00, 106.93, 90.00 degrees
Space group Pm (No. 6)
Asymmetric unit:
Zr 0.000 0.000 0.000 x1
Zr 0.324 0.500 0.649 x1
Tl 0.725 0.000 0.452 x1
Ru 0.552 0.500 0.104 x1

raw total energy = -7.36 eV per atom
formation energy = -0.180 eV per atom

# 12
Material: Zr2TlRu
Method: DFT, PBE
State: relaxed

Cell lengths 3.343, 3.343, 7.336 Å; angles 90.00, 90.00, 90.00 degrees
Space group P4mm (No. 99)
Asymmetric unit:
Zr 0.000 0.000 0.000 x1
Zr 0.500 0.500 0.282 x1
Tl 0.500 0.500 0.716 x1
Ru 0.000 0.000 0.476 x1

raw total energy = -7.29 eV per atom
formation energy = -0.107 eV per atom